First-principles (PBE-GGA) data for an optimized crystal structure of Tb2ErPt, as listed in Alexandria.

```
Tb2ErPt
1.0
-1.725 0.330 3.126
2.878 -1.269 1.722
2.947 7.776 0.806
Tb Er Pt
2 1 1
Cartesian
2.364 6.239 0.647
0.583 1.537 0.159
2.050 3.418 2.827
0.576 -0.470 2.424
```

Output
The value obtained for the density of states at the Fermi level is 1.2236 states/eV per atom. As for the symmetry: P4/mmm. The total moment is 0.00 μB/f.u. For the total energy, the calculation gives -22.13 eV per formula unit.